1.
Here is an optimized crystal structure of Cr2RuW from Alexandria. Energies are from GGA-PBE.

Properties
- DOS at the Fermi energy: 5.468 states/eV/f.u.
- Density: 11.86 g/cm3
- M_tot: 0.000 μB per cell
- Space group: I4/mmm (139)
- Relative energy among the computed polymorphs: 186 meV/atom

Lattice parameters (Å, degrees): 4.653 4.653 4.653 132.06 132.06 70.14
Fractional coordinates of all 4 atoms:
Cr (0.250, 0.750, 0.500)
Cr (0.750, 0.250, 0.500)
Ru (0.000, 0.000, 0.000)
W (0.500, 0.500, 0.000)

2.
Here is an optimized crystal structure of LiLaRu2 from Alexandria. Energies are from GGA-PBE.

Properties
- DOS at the Fermi energy: 4.310 states/eV/f.u.
- Density: 7.80 g/cm3
- M_tot: 0.799 μB per cell
- Space group: Imm2 (44)
- Relative energy among the computed polymorphs: 243 meV/atom

Lattice parameters (Å, degrees): 5.628 5.628 5.628 147.04 129.49 61.65
Fractional coordinates of all 4 atoms:
Li (0.000, 0.000, 0.000)
La (0.719, 0.219, 0.500)
Ru (0.239, 0.739, 0.500)
Ru (0.453, 0.453, 0.000)